Entry from Alexandria: a relaxed structure of Cu3Ru4 (PBE-GGA).

Values from the calculation:
- Polymorph energy (0 for the lowest one): 0.000 eV per atom

Cell lengths 2.728, 2.728, 25.018 Å; angles 90.00, 90.00, 90.00 degrees
Positions (direct):
Cu  0.000  0.000  0.000
Cu  0.000  0.000  0.282
Cu  0.000  0.000  0.718
Cu  0.500  0.500  0.218
Cu  0.500  0.500  0.500
Cu  0.500  0.500  0.782
Ru  0.000  0.000  0.143
Ru  0.000  0.000  0.426
Ru  0.000  0.000  0.574
Ru  0.000  0.000  0.857
Ru  0.500  0.500  0.074
Ru  0.500  0.500  0.357
Ru  0.500  0.500  0.643
Ru  0.500  0.500  0.926



Entry from Alexandria: a relaxed structure of CuRu5 (PBE-GGA).

Values from the calculation:
- Polymorph energy (0 for the lowest one): 0.004 eV per atom

Cell lengths 4.302, 2.736, 13.984 Å; angles 90.00, 90.00, 90.00 degrees
Positions (direct):
Cu  0.000  0.000  0.000
Cu  0.000  0.500  0.500
Ru  0.000  0.000  0.331
Ru  0.000  0.000  0.667
Ru  0.000  0.500  0.167
Ru  0.000  0.500  0.831
Ru  0.500  0.000  0.220
Ru  0.500  0.000  0.553
Ru  0.500  0.000  0.891
Ru  0.500  0.500  0.053
Ru  0.500  0.500  0.391
Ru  0.500  0.500  0.720



Calculated energy relative to the elements, 0.16 0.13 eV/atom (same order as the records).